# Ac5Nd5Er2, relaxed, DFT PBE
# uncorrected energy	-52.6	eV per formula unit
# volume	459	Å³/f.u.
# DFT formation energy	0.0776	eV per atom
data_Ac5Nd5Er2
_chemical_formula_sum 'Ac10 Nd10 Er4'
_symmetry_space_group_name_H-M 'C 1 2/m 1'
_symmetry_Int_Tables_number 12
_cell_length_a 18.071
_cell_length_b 5.960
_cell_length_c 10.393
_cell_angle_alpha 90.00
_cell_angle_beta 124.83
_cell_angle_gamma 90.00
loop_
_symmetry_equiv_pos_as_xyz
'x,y,z'
'-x,-y,-z'
'-x,y,-z'
'x,-y,z'
'x+1/2,y+1/2,z'
'-x+1/2,-y+1/2,-z'
'-x+1/2,y+1/2,-z'
'x+1/2,-y+1/2,z'
loop_
_atom_site_label
_atom_site_type_symbol
_atom_site_fract_x
_atom_site_fract_y
_atom_site_fract_z
_atom_site_occupancy
Ac1 Ac 0.000 0.000 0.000 1
Ac2 Ac 0.122 0.000 0.459 1
Ac3 Ac 0.248 0.500 0.759 1
Nd1 Nd 0.000 0.500 0.500 1
Nd2 Nd 0.123 0.500 0.284 1
Nd3 Nd 0.123 0.500 0.954 1
Er1 Er 0.127 0.000 0.799 1